(1)
A relaxed structure of SrPmAs2Pd2. Source: the Alexandria database, functional PBE.

Properties
Calculated total energy (eV per atom): -5.45
ρ (g/cm³): 7.23
Calculated volume (Å³/atom): 22.803

a b c (Å): 4.3432 4.3432 8.3751
angles (deg): 90.00 90.00 120.00
With the nearest neighbours (Å) after each atom.
Space group P-3m1 (No. 164)
One atom of each set of equivalent atoms:
Sr: 0.0000 0.0000 0.0000 [1 per cell]  6 Pd 3.34, 6 As 3.37
Pm: 0.0000 0.0000 0.5000 [1 per cell]  6 As 3.17, 6 Pd 3.20
As: 0.3333 0.6667 0.2684 [2 per cell]  3 Pd 2.51
Pd: 0.3333 0.6667 0.7364 [2 per cell]  3 As 2.51



(2)
A relaxed structure of Pm6Te3As2Pd. Source: the Alexandria database, functional PBE.

Properties
Calculated total energy (eV per atom): -5.74
ρ (g/cm³): 7.15
Formation energy from raw total energies (eV/atom): -1.37
Calculated volume (Å³/atom): 29.189

a b c (Å): 19.1079 4.2907 8.8147
angles (deg): 90.00 104.23 90.00
With the nearest neighbours (Å) after each atom.
Space group C2/m (No. 12)
One atom of each set of equivalent atoms:
Pm: 0.0063 0.0000 0.2328 [4 per cell]  2 Pd 2.95, 1 As 2.98, 3 Te 3.21-3.22
Pm: 0.1635 0.5000 0.1009 [4 per cell]  2 As 2.96, 1 Pd 3.03, 3 Te 3.15-3.21
Pm: 0.1729 0.5000 0.5681 [4 per cell]  3 As 2.96-2.97, 3 Te 3.19-3.21
Te: 0.0000 0.5000 0.5000 [2 per cell]  6 Pm 3.21
Te: 0.1670 0.0000 0.8325 [4 per cell]  6 Pm 3.15-3.22
As: 0.1669 0.0000 0.3345 [4 per cell]  6 Pm 2.96-2.98
Pd: 0.0000 0.5000 0.0000 [2 per cell]  6 Pm 2.95-3.03



(3)
A relaxed structure of Pm4Te2AsPd. Source: the Alexandria database, functional PBE.

Properties
Calculated total energy (eV per atom): -5.66
ρ (g/cm³): 7.22
Formation energy from raw total energies (eV/atom): -1.27
Calculated volume (Å³/atom): 29.225

a b c (Å): 7.5563 4.2831 7.6347
angles (deg): 90.00 108.88 90.00
With the nearest neighbours (Å) after each atom.
Space group P2/m (No. 10)
One atom of each set of equivalent atoms:
Pm: 0.2375 0.0000 0.2252 [2 per cell]  2 As 2.96, 1 Pd 3.02, 3 Te 3.17-3.20
Pm: 0.2612 0.5000 0.7794 [2 per cell]  2 Pd 2.95, 1 As 2.98, 3 Te 3.21
Te: 0.0000 0.0000 0.5000 [1 per cell]  6 Pm 3.17-3.21
Te: 0.5000 0.5000 0.5000 [1 per cell]  6 Pm 3.20-3.21
As: 0.0000 0.5000 0.0000 [1 per cell]  6 Pm 2.96-2.98
Pd: 0.5000 0.0000 0.0000 [1 per cell]  6 Pm 2.95-3.02



(4)
A relaxed structure of PmThAsPd. Source: the Alexandria database, functional PBE.

Properties
Calculated total energy (eV per atom): -6.28
ρ (g/cm³): 9.62
Calculated volume (Å³/atom): 24.086

a b c (Å): 7.2772 7.2772 7.2772
angles (deg): 90.00 90.00 90.00
With the nearest neighbours (Å) after each atom.
Space group F-43m (No. 216)
One atom of each set of equivalent atoms:
Pm: 0.0000 0.0000 0.0000 [4 per cell]  4 As 3.15, 4 Pd 3.15
Th: 0.0000 0.0000 0.5000 [4 per cell]  4 As 3.15, 4 Pd 3.15
As: 0.2500 0.2500 0.7500 [4 per cell]  4 Th 3.15, 4 Pm 3.15
Pd: 0.2500 0.2500 0.2500 [4 per cell]  4 Th 3.15, 4 Pm 3.15



(5)
A relaxed structure of Pm2ZnAs3Pd4. Source: the Alexandria database, functional PBE.

Properties
Calculated total energy (eV per atom): -5.40
ρ (g/cm³): 8.73
Calculated volume (Å³/atom): 19.122

a b c (Å): 4.2378 4.2378 10.6476
angles (deg): 90.00 90.00 90.00
With the nearest neighbours (Å) after each atom.
Space group P-4m2 (No. 115)
One atom of each set of equivalent atoms:
Pm: 0.0000 0.5000 0.2385 [2 per cell]  6 As 3.18-3.50, 8 Pd 3.29-3.31, 2 Zn 3.50
Zn: 0.0000 0.0000 0.5000 [1 per cell]  4 Pd 2.55
As: 0.0000 0.5000 0.8618 [2 per cell]  5 Pd 2.43-2.58
As: 0.5000 0.5000 0.5000 [1 per cell]  4 Pd 2.55
Pd: 0.0000 0.0000 0.0000 [1 per cell]  4 As 2.58
Pd: 0.0000 0.5000 0.6331 [2 per cell]  3 As 2.43-2.55, 2 Zn 2.55
Pd: 0.5000 0.5000 0.0000 [1 per cell]  4 As 2.58



(6)
A relaxed structure of Pm2ZnAs4Pd3. Source: the Alexandria database, functional PBE.

Properties
Calculated total energy (eV per atom): -5.26
ρ (g/cm³): 8.28
Calculated volume (Å³/atom): 19.550

a b c (Å): 4.2386 4.2386 10.8814
angles (deg): 90.00 90.00 90.00
With the nearest neighbours (Å) after each atom.
Space group P-4m2 (No. 115)
One atom of each set of equivalent atoms:
Pm: 0.0000 0.5000 0.2464 [2 per cell]  8 As 3.22-3.48, 6 Pd 3.26-3.42, 2 Zn 3.42
Zn: 0.5000 0.5000 0.0000 [1 per cell]  4 As 2.60
As: 0.0000 0.0000 0.5000 [1 per cell]  4 Pd 2.59
As: 0.0000 0.5000 0.8610 [2 per cell]  3 Pd 2.44-2.60, 2 Zn 2.60
As: 0.5000 0.5000 0.5000 [1 per cell]  4 Pd 2.59
Pd: 0.0000 0.0000 0.0000 [1 per cell]  4 As 2.60
Pd: 0.0000 0.5000 0.6364 [2 per cell]  5 As 2.44-2.59



(7)
A relaxed structure of Pr2As7Pd12. Source: the Alexandria database, functional PBE.

Properties
Calculated total energy (eV per atom): -5.60
ρ (g/cm³): 9.36
Calculated volume (Å³/atom): 17.606

a b c (Å): 10.1050 10.1050 4.1810
angles (deg): 90.00 90.00 120.00
With the nearest neighbours (Å) after each atom.
Space group P-3 (No. 147)
One atom of each set of equivalent atoms:
Pr: 0.3333 0.6667 0.2479 [2 per cell]  6 As 3.20-3.21, 9 Pd 3.32-3.55
As: 0.0000 0.0000 0.5000 [1 per cell]  6 Pd 2.49
As: 0.1151 0.4086 0.7452 [6 per cell]  7 Pd 2.49-2.77
Pd: 0.0578 0.6215 0.7461 [6 per cell]  4 As 2.49-2.67
Pd: 0.1115 0.8590 0.2268 [6 per cell]  4 As 2.49-2.77



(8)
A relaxed structure of PrAsPd3. Source: the Alexandria database, functional PBE.

Properties
Calculated total energy (eV per atom): -5.50
ρ (g/cm³): 7.78
Relative energy among the computed polymorphs (eV per atom): 0.059
Calculated volume (Å³/atom): 22.839

a b c (Å): 5.3097 5.3097 16.2023
angles (deg): 90.00 90.00 90.00
With the nearest neighbours (Å) after each atom.
Space group I-4m2 (No. 119)
One atom of each set of equivalent atoms:
Pr: 0.0000 0.0000 0.1531 [4 per cell]  6 Pd 3.02-3.18, 2 As 3.08
As: 0.0000 0.0000 0.5000 [2 per cell]  4 Pd 2.41
As: 0.0000 0.5000 0.7500 [2 per cell]  4 Pd 2.43
Pd: 0.0000 0.2436 0.6254 [8 per cell]  2 As 2.41-2.43, 1 Pd 2.59
Pd: 0.0000 0.5000 0.0455 [4 per cell]  2 As 2.76, 2 Pd 3.09



(9)
A relaxed structure of PrAs2Pd6. Source: the Alexandria database, functional PBE.

Properties
Calculated total energy (eV per atom): -5.45
ρ (g/cm³): 8.47
Relative energy among the computed polymorphs (eV per atom): 0.091
Calculated volume (Å³/atom): 20.249

a b c (Å): 5.6663 5.6663 6.5542
angles (deg): 90.00 90.00 120.00
With the nearest neighbours (Å) after each atom.
Space group P6/mmm (No. 191)
One atom of each set of equivalent atoms:
Pr: 0.0000 0.0000 0.0000 [1 per cell]  12 Pd 3.16
As: 0.3333 0.6667 0.5000 [2 per cell]  6 Pd 2.50
Pd: 0.0000 0.5000 0.2125 [6 per cell]  2 As 2.50, 1 Pd 2.79



(10)
A relaxed structure of PrAs3Pd5. Source: the Alexandria database, functional PBE.

Properties
Calculated total energy (eV per atom): -5.56
ρ (g/cm³): 8.89
Calculated volume (Å³/atom): 18.622

a b c (Å): 3.9584 13.3244 12.7106
angles (deg): 90.00 90.00 90.00
With the nearest neighbours (Å) after each atom.
Space group Cmcm (No. 63)
One atom of each set of equivalent atoms:
Pr: 0.0000 0.1329 0.2500 [4 per cell]  5 As 3.20-3.47, 4 Pd 3.53
As: 0.0000 0.1276 0.7500 [4 per cell]  6 Pd 2.48-2.56
As: 0.0000 0.3866 0.5529 [8 per cell]  5 Pd 2.40-2.60
Pd: 0.0000 0.0000 0.0000 [4 per cell]  4 As 2.58, 4 Pd 2.81
Pd: 0.0000 0.2073 0.5736 [8 per cell]  2 As 2.40-2.48
Pd: 0.0000 0.4383 0.1432 [8 per cell]  4 As 2.56-2.60, 3 Pd 2.71-2.81



(11)
A relaxed structure of Pr2AsPd6. Source: the Alexandria database, functional PBE.

Properties
Calculated total energy (eV per atom): -5.78
ρ (g/cm³): 9.55
Calculated volume (Å³/atom): 19.227

a b c (Å): 9.9669 5.8162 6.1372
angles (deg): 90.00 103.40 90.00
With the nearest neighbours (Å) after each atom.
Space group C2/m (No. 12)
One atom of each set of equivalent atoms:
Pr: 0.1407 0.0000 0.3338 [4 per cell]  9 Pd 3.02-3.29
As: 0.0000 0.5000 0.5000 [2 per cell]  6 Pd 2.48-2.57
Pd: 0.1254 0.5000 0.1948 [4 per cell]  1 As 2.48
Pd: 0.1339 0.2410 0.8155 [8 per cell]  1 As 2.57, 4 Pd 2.79-2.84



(12)
A relaxed structure of PrAs2Pd7. Source: the Alexandria database, functional PBE.

Properties
Calculated total energy (eV per atom): -5.57
ρ (g/cm³): 9.60
Relative energy among the computed polymorphs (eV per atom): 0.000
Calculated volume (Å³/atom): 17.913

a b c (Å): 4.1881 4.1881 20.4245
angles (deg): 90.00 90.00 90.00
With the nearest neighbours (Å) after each atom.
Space group I4/mmm (No. 139)
One atom of each set of equivalent atoms:
Pr: 0.0000 0.0000 0.0000 [2 per cell]  12 Pd 2.96-3.02
As: 0.0000 0.0000 0.3240 [4 per cell]  8 Pd 2.53-2.58
Pd: 0.0000 0.0000 0.5000 [2 per cell]  4 Pr 2.96, 8 Pd 3.02
Pd: 0.0000 0.5000 0.1068 [8 per cell]  2 As 2.53
Pd: 0.0000 0.5000 0.2500 [4 per cell]  4 As 2.58